Record 1
VASP calculation (GGA-PBEsol) on a relaxed structure of CoPH6NO5.

Unit cell a=4.705 b=5.553 c=8.837 alpha=90.00 beta=90.00 gamma=90.00
Each line ends with the local moment (μB).
Fractional positions:
Co: 0.477 0.500 0.022  2.58
Co: 0.977 0.000 0.978  2.58
P: 0.910 0.500 0.810  0.01
P: 0.410 0.000 0.190  0.01
H: 0.160 0.500 0.543  0.00
H: 0.660 0.000 0.457  0.00
H: 0.529 0.500 0.549  0.00
H: 0.029 0.000 0.451  0.00
H: 0.353 0.345 0.410  0.00
H: 0.353 0.655 0.410  0.00
H: 0.853 0.155 0.590  0.00
H: 0.853 0.845 0.590  0.00
H: 0.905 0.358 0.181  0.00
H: 0.905 0.642 0.181  0.00
H: 0.405 0.142 0.819  0.00
H: 0.405 0.858 0.819  0.00
N: 0.348 0.500 0.477  0.00
N: 0.848 0.000 0.523  0.00
O: 0.231 0.500 0.834  0.05
O: 0.731 0.000 0.166  0.05
O: 0.847 0.500 0.637  0.01
O: 0.347 0.000 0.363  0.01
O: 0.781 0.500 0.198  0.04
O: 0.281 0.000 0.802  0.04
O: 0.762 0.278 0.887  0.11
O: 0.762 0.722 0.887  0.11
O: 0.262 0.222 0.113  0.11
O: 0.262 0.778 0.113  0.11

Calculated values
**Crystal system**: orthorhombic
**Relative energy among the computed polymorphs**: 0 meV/atom
**Electronic total energy**: -84.24 eV per formula unit

=====

Record 2
VASP calculation (GGA-PBEsol) on a relaxed structure of RbCoH2N.

Unit cell a=3.467 b=3.467 c=5.482 alpha=90.00 beta=90.00 gamma=90.00
Each line ends with the local moment (μB).
Fractional positions:
H: 0.000 0.500 0.000  0.01
H: 0.500 0.000 0.000  0.01
Co: 0.500 0.500 0.500  2.20
Rb: 0.000 0.000 0.000  0.01
N: 0.000 0.000 0.500  0.47

Calculated values
**Crystal system**: tetragonal
**Electronic total energy**: -13.06 eV per formula unit

=====

electronic total energy of number 1 (CoPH6NO5)? -84.24 eV per formula unit